First-principles (PBE) data for a relaxed BaCd3C crystal, as listed in the Alexandria database.

## Properties
* ΔH_f (0 K): 1814 meV/atom
* ρ: 2.324 g cm⁻³
* M_tot: 3.08 Bohr magnetons per cell
* SG: No. 221

Unit cell a=7.0319 b=7.0319 c=7.0319 alpha=90.00 beta=90.00 gamma=90.00
Closest atoms and distances in Å follow each position.
Positions (direct):
C (0.5000, 0.5000, 0.5000)  12 Cd 4.97
Ba (0.0000, 0.0000, 0.0000)  6 Cd 3.52
Cd (0.0000, 0.5000, 0.0000)  2 Ba 3.52
Cd (0.0000, 0.0000, 0.5000)  2 Ba 3.52
Cd (0.5000, 0.0000, 0.0000)  2 Ba 3.52

***

First-principles (PBE) data for a relaxed Cu2PbSe crystal, as listed in the Alexandria database.

## Properties
* VASP energy: -15.1 eV per cell
* ρ: 8.686 g cm⁻³
* M_tot: 0.00 Bohr magnetons per cell
* SG: No. 44

Unit cell a=6.4514 b=6.4514 c=6.4514 alpha=146.91 beta=147.25 gamma=47.25
Closest atoms and distances in Å follow each position.
Positions (direct):
Cu (0.9235, 0.9235, 0.0000)  2 Cu 2.56, 2 Se 2.61
Cu (0.2715, 0.7715, 0.5000)  2 Cu 2.56, 4 Se 2.59
Pb (0.5381, 0.5381, 0.0000)  4 Cu 2.92
Se (0.7669, 0.2669, 0.5000)  6 Cu 2.59-2.61

***

First-principles (PBE) data for a relaxed YZnSb crystal, as listed in the Alexandria database.

## Properties
* VASP energy: -13.1 eV per cell
* ρ: 6.298 g cm⁻³
* M_tot: 0.00 Bohr magnetons per cell
* SG: No. 42

Unit cell a=6.0920 b=5.8588 c=3.7214 alpha=75.31 beta=68.47 gamma=36.22
Closest atoms and distances in Å follow each position.
Positions (direct):
Sb (0.9841, 0.9841, 0.0159)  2 Zn 2.79, 2 Y 3.09
Y (0.6716, 0.6716, 0.3284)  2 Zn 2.99, 2 Sb 3.09
Zn (0.3443, 0.3443, 0.6557)  2 Sb 2.79, 2 Y 2.99